The following is a GGA-PBE calculation of Ac5Nd4Sm after structural relaxation, from the Alexandria database.

Summary:
D(E_F): 1.58 states/eV per atom
ΔH_f (0 K): 0.026 eV per atom
DFT total energy: -4.407 eV per atom

Lattice parameters (Å, degrees): 19.4815 5.4968 7.5949 90.00 103.30 90.00
Space group C2/m (No. 12)
Asymmetric unit:
Ac 0.0000 0.0000 0.0000 (multiplicity 2)
Ac 0.0996 0.5000 0.7988 (multiplicity 4)
Ac 0.1997 0.0000 0.5997 (multiplicity 4)
Nd 0.0998 0.5000 0.2998 (multiplicity 4)
Nd 0.2001 0.0000 0.0999 (multiplicity 4)
Sm 0.0000 0.0000 0.5000 (multiplicity 2)

---

The following is a GGA-PBE calculation of KSn after structural relaxation, from the Alexandria database.

Summary:
D(E_F): 0.38 states/eV per atom
ΔH_f (0 K): -0.102 eV per atom
DFT total energy: -2.652 eV per atom

Lattice parameters (Å, degrees): 12.8851 12.8851 4.1658 90.00 90.00 90.00
Space group I4/m (No. 87)
Asymmetric unit:
K 0.1185 0.8114 0.0000 (multiplicity 8)
Sn 0.0759 0.3953 0.0000 (multiplicity 8)